# 1
Entry from Alexandria via LeMat-Bulk: a PBEsol-optimized structure of LaSi2Os2 (SCAN).

## Properties
total energy: -210.8 eV per cell

a b c (Å): 4.192 4.192 5.778
angles (deg): 111.27 111.27 90.00
Sites, in units of the cell vectors:
Si: 0.634 0.634 0.268
Si: 0.366 0.366 0.732
Os: 0.750 0.250 0.500
Os: 0.250 0.750 0.500
La: 0.000 0.000 0.000

# 2
Entry from Alexandria via LeMat-Bulk: a PBEsol-optimized structure of Cu2TcHIr (SCAN).

## Properties
total energy: -138.2 eV per cell

a b c (Å): 3.706 3.819 3.819
angles (deg): 90.00 90.00 90.00
Each line ends with the local moment (μB).
Sites, in units of the cell vectors:
H: 0.000 0.000 0.000  0.01
Ir: 0.500 0.000 0.000  0.48
Tc: 0.500 0.500 0.500  1.94
Cu: 0.000 0.000 0.500  0.14
Cu: 0.000 0.500 0.000  0.14

# 3
Entry from Alexandria via LeMat-Bulk: a PBEsol-optimized structure of CaAgSe2 (SCAN).

## Properties
total energy: -85.1 eV per cell

a b c (Å): 3.674 3.898 6.722
angles (deg): 91.27 90.00 90.00
Sites, in units of the cell vectors:
Ca: 0.500 0.500 0.000
Ag: 0.500 0.000 0.500
Se: 0.000 0.996 0.773
Se: 0.000 0.004 0.227

# 4
Entry from Alexandria via LeMat-Bulk: a PBEsol-optimized structure of SiRu (SCAN).

## Properties
total energy: -185.2 eV per cell

a b c (Å): 4.686 4.686 4.686
angles (deg): 90.00 90.00 90.00
Sites, in units of the cell vectors:
Ru: 0.131 0.131 0.131
Ru: 0.369 0.869 0.631
Ru: 0.869 0.631 0.369
Ru: 0.631 0.369 0.869
Si: 0.838 0.838 0.838
Si: 0.662 0.162 0.338
Si: 0.162 0.338 0.662
Si: 0.338 0.662 0.162

# 5
Entry from Alexandria via LeMat-Bulk: a PBEsol-optimized structure of LaTl3 (SCAN).

## Properties
total energy: -1571.0 eV per cell
calculated formation energy: -415 meV/atom

a b c (Å): 6.121 6.737 16.112
angles (deg): 90.00 90.00 90.00
Sites, in units of the cell vectors:
La: 0.550 0.000 0.500
La: 0.159 0.000 0.155
La: 0.159 0.000 0.845
La: 0.450 0.500 0.000
La: 0.841 0.500 0.655
La: 0.841 0.500 0.345
Tl: 0.663 0.742 0.168
Tl: 0.663 0.742 0.832
Tl: 0.038 0.769 0.500
Tl: 0.962 0.731 0.000
Tl: 0.337 0.758 0.668
Tl: 0.337 0.758 0.332
Tl: 0.529 0.000 0.000
Tl: 0.829 0.000 0.675
Tl: 0.829 0.000 0.325
Tl: 0.663 0.258 0.168
Tl: 0.663 0.258 0.832
Tl: 0.038 0.231 0.500
Tl: 0.962 0.269 0.000
Tl: 0.337 0.242 0.668
Tl: 0.337 0.242 0.332
Tl: 0.471 0.500 0.500
Tl: 0.171 0.500 0.175
Tl: 0.171 0.500 0.825

# 6
Entry from Alexandria via LeMat-Bulk: a PBEsol-optimized structure of BeAgAu2 (SCAN).

## Properties
total energy: -174.0 eV per cell
calculated formation energy: 7 meV/atom

a b c (Å): 3.742 4.017 4.017
angles (deg): 90.00 90.00 90.00
Sites, in units of the cell vectors:
Be: 0.500 0.500 0.500
Au: 0.000 0.000 0.500
Au: 0.000 0.500 0.000
Ag: 0.500 0.000 0.000

# 7
Entry from Alexandria via LeMat-Bulk: a PBEsol-optimized structure of LiLaTl (SCAN).

## Properties
total energy: -119.3 eV per cell
energy above the lowest structure with this stoichiometry: 0.000 eV/atom
calculated formation energy: -475 meV/atom

a b c (Å): 3.466 5.057 5.057
angles (deg): 120.00 90.00 90.00
Sites, in units of the cell vectors:
Tl: 0.500 0.667 0.333
Li: 0.500 0.000 0.000
La: 0.000 0.333 0.667

# 8
Entry from Alexandria via LeMat-Bulk: a PBEsol-optimized structure of BeC4 (SCAN).

## Properties
total energy: -36.5 eV per cell
calculated formation energy: 1649 meV/atom

a b c (Å): 2.652 2.652 8.136
angles (deg): 90.00 90.00 120.00
Sites, in units of the cell vectors:
Be: 0.000 0.000 0.000
C: 0.333 0.667 0.067
C: 0.667 0.333 0.933
C: 0.333 0.667 0.500
C: 0.667 0.333 0.500

# 9
Entry from Alexandria via LeMat-Bulk: a PBEsol-optimized structure of SrHfIn2 (SCAN).

## Properties
total energy: -152.1 eV per cell
calculated formation energy: -92 meV/atom

a b c (Å): 5.219 5.219 5.219
angles (deg): 60.00 60.00 60.00
Sites, in units of the cell vectors:
Sr: 0.000 0.000 0.000
Hf: 0.500 0.500 0.500
In: 0.250 0.250 0.250
In: 0.750 0.750 0.750

# 10
Entry from Alexandria via LeMat-Bulk: a PBEsol-optimized structure of TlIn3Ni (SCAN).

## Properties
total energy: -188.8 eV per cell
calculated formation energy: -28 meV/atom

a b c (Å): 4.937 4.937 4.937
angles (deg): 90.00 90.00 90.00
Sites, in units of the cell vectors:
Ni: 0.000 0.000 0.000
Tl: 0.500 0.500 0.500
In: 0.000 0.500 0.000
In: 0.000 0.000 0.500
In: 0.500 0.000 0.000

# 11
Entry from Alexandria via LeMat-Bulk: a PBEsol-optimized structure of ScTa2Fe (SCAN).

## Properties
total energy: -164.4 eV per cell
energy above the lowest structure with this stoichiometry: 0.051 eV/atom
calculated formation energy: 280 meV/atom

a b c (Å): 2.997 2.997 8.869
angles (deg): 80.27 80.27 60.00
Each line ends with the local moment (μB).
Sites, in units of the cell vectors:
Fe: 0.495 0.495 0.514  1.80
Sc: 0.240 0.240 0.279  -0.16
Ta: 0.004 0.004 0.989  0.00
Ta: 0.761 0.761 0.717  -0.24

# 12
Entry from Alexandria via LeMat-Bulk: a PBEsol-optimized structure of Be2AlP (SCAN).

## Properties
total energy: -26.2 eV per cell
energy above the lowest structure with this stoichiometry: 0.000 eV/atom
calculated formation energy: 165 meV/atom

a b c (Å): 3.454 3.491 4.398
angles (deg): 91.78 90.00 90.00
Sites, in units of the cell vectors:
P: 0.500 0.000 0.500
Al: 0.500 0.500 0.000
Be: 0.000 0.010 0.232
Be: 0.000 0.990 0.768

# 13
Entry from Alexandria via LeMat-Bulk: a PBEsol-optimized structure of ZrAg2Hg (SCAN).

## Properties
total energy: -161.9 eV per cell
calculated formation energy: -68 meV/atom

a b c (Å): 2.839 4.757 5.650
angles (deg): 90.00 90.12 90.00
Sites, in units of the cell vectors:
Zr: 0.000 0.500 0.500
Hg: 0.500 0.500 0.000
Ag: 0.504 0.000 0.739
Ag: 0.496 0.000 0.261

# 14
Entry from Alexandria via LeMat-Bulk: a PBEsol-optimized structure of Re2OsAu (SCAN).

## Properties
total energy: -280.4 eV per cell
energy above the lowest structure with this stoichiometry: 0.000 eV/atom
calculated formation energy: 697 meV/atom

a b c (Å): 4.403 4.403 4.403
angles (deg): 60.00 60.00 60.00
Sites, in units of the cell vectors:
Au: 0.500 0.500 0.500
Os: 0.250 0.250 0.250
Re: 0.000 0.000 0.000
Re: 0.750 0.750 0.750

# 15
Entry from Alexandria via LeMat-Bulk: a PBEsol-optimized structure of CaTl2Ag (SCAN).

## Properties
total energy: -186.6 eV per cell
calculated formation energy: -220 meV/atom

a b c (Å): 4.707 4.710 5.475
angles (deg): 115.48 115.46 90.00
Sites, in units of the cell vectors:
Tl: 0.000 0.000 0.000
Tl: 0.750 0.250 0.500
Ca: 0.250 0.750 0.500
Ag: 0.500 0.500 0.000

# 16
Entry from Alexandria via LeMat-Bulk: a PBEsol-optimized structure of TcP2SO (SCAN).

## Properties
total energy: -68.7 eV per cell

a b c (Å): 3.217 4.478 4.478
angles (deg): 90.00 90.00 90.00
Each line ends with the local moment (μB).
Sites, in units of the cell vectors:
P: 0.000 0.000 0.500  -0.07
P: 0.000 0.500 0.000  -0.07
S: 0.000 0.000 0.000  0.00
Tc: 0.500 0.500 0.500  1.51
O: 0.500 0.000 0.000  0.01

# 17
Entry from Alexandria via LeMat-Bulk: a PBEsol-optimized structure of Zr2CdSe (SCAN).

## Properties
total energy: -113.1 eV per cell
energy above the lowest structure with this stoichiometry: 0.175 eV/atom

a b c (Å): 4.059 4.059 5.648
angles (deg): 111.06 111.06 90.00
Sites, in units of the cell vectors:
Cd: 0.500 0.500 0.000
Se: 0.250 0.750 0.500
Zr: 0.000 0.000 0.000
Zr: 0.750 0.250 0.500

# 18
Entry from Alexandria via LeMat-Bulk: a PBEsol-optimized structure of ErAsS (SCAN).

## Properties
total energy: -340.4 eV per cell

a b c (Å): 3.701 6.885 9.310
angles (deg): 90.00 90.00 90.00
Sites, in units of the cell vectors:
As: 0.250 0.107 0.958
As: 0.750 0.393 0.458
As: 0.250 0.607 0.542
As: 0.750 0.893 0.042
S: 0.750 0.413 0.841
S: 0.250 0.087 0.341
S: 0.750 0.913 0.659
S: 0.250 0.587 0.159
Er: 0.750 0.793 0.340
Er: 0.250 0.207 0.660
Er: 0.750 0.293 0.160
Er: 0.250 0.707 0.840

# 19
Entry from Alexandria via LeMat-Bulk: a PBEsol-optimized structure of FeCoAg2 (SCAN).

## Properties
total energy: -96.8 eV per cell
calculated formation energy: 330 meV/atom

a b c (Å): 3.846 3.846 4.604
angles (deg): 114.69 114.69 90.00
Each line ends with the local moment (μB).
Sites, in units of the cell vectors:
Ag: 0.000 0.000 0.000  -0.01
Ag: 0.750 0.250 0.500  -0.02
Co: 0.500 0.500 0.000  1.90
Fe: 0.250 0.750 0.500  3.19

# 20
Entry from Alexandria via LeMat-Bulk: a PBEsol-optimized structure of Sc9Ni5Ge8 (SCAN).

## Properties
total energy: -380.6 eV per cell
calculated formation energy: -858 meV/atom

a b c (Å): 3.895 8.929 11.517
angles (deg): 112.81 99.73 90.00
Sites, in units of the cell vectors:
Sc: 0.415 0.215 0.829
Sc: 0.725 0.725 0.451
Sc: 0.415 0.615 0.829
Sc: 0.112 0.112 0.223
Sc: 0.585 0.785 0.171
Sc: 0.585 0.385 0.171
Sc: 0.888 0.888 0.777
Sc: 0.275 0.275 0.549
Sc: 0.000 0.500 0.000
Ni: 0.805 0.080 0.610
Ni: 0.195 0.920 0.390
Ni: 0.805 0.530 0.610
Ni: 0.500 0.000 0.000
Ni: 0.195 0.470 0.390
Ge: 0.305 0.666 0.611
Ge: 0.000 0.178 0.000
Ge: 0.868 0.368 0.736
Ge: 0.695 0.055 0.389
Ge: 0.000 0.822 0.000
Ge: 0.695 0.334 0.389
Ge: 0.132 0.632 0.264
Ge: 0.305 0.945 0.611

# 21
Entry from Alexandria via LeMat-Bulk: a PBEsol-optimized structure of YNi2MoRu (SCAN).

## Properties
total energy: -123.6 eV per cell
calculated formation energy: 1268 meV/atom

a b c (Å): 4.488 4.488 4.804
angles (deg): 90.00 90.00 90.00
Each line ends with the local moment (μB).
Sites, in units of the cell vectors:
Y: 0.000 0.000 0.500  0.05
Ru: 0.000 0.000 0.000  0.90
Mo: 0.500 0.500 0.500  3.43
Ni: 0.000 0.500 0.000  0.84
Ni: 0.500 0.000 0.000  0.84

# 22
Entry from Alexandria via LeMat-Bulk: a PBEsol-optimized structure of NaV2Bi3O10 (SCAN).

## Properties
total energy: -368.1 eV per cell

a b c (Å): 5.594 6.896 7.075
angles (deg): 69.55 85.68 68.42
Sites, in units of the cell vectors:
Na: 0.905 0.965 0.521
V: 0.251 0.323 0.619
V: 0.684 0.599 0.929
Bi: 0.025 0.960 0.022
Bi: 0.566 0.656 0.410
Bi: 0.382 0.241 0.152
O: 0.428 0.661 0.082
O: 0.216 0.587 0.595
O: 0.938 0.621 0.022
O: 0.723 0.931 0.245
O: 0.980 0.311 0.541
O: 0.742 0.322 0.969
O: 0.325 0.151 0.873
O: 0.613 0.756 0.678
O: 0.494 0.251 0.462
O: 0.211 0.975 0.275

# 23
Entry from Alexandria via LeMat-Bulk: a PBEsol-optimized structure of LiCrBr4 (SCAN).

## Properties
total energy: -97.1 eV per cell

a b c (Å): 6.241 6.241 6.241
angles (deg): 60.00 60.00 60.00
Each line ends with the local moment (μB).
Sites, in units of the cell vectors:
Br: 0.375 0.375 0.375  -0.43
Br: 0.375 0.375 0.875  -0.43
Br: 0.875 0.375 0.375  -0.43
Br: 0.375 0.875 0.375  -0.43
Cr: 0.750 0.750 0.750  4.43
Li: 0.000 0.000 0.000  0.00

# 24
Entry from Alexandria via LeMat-Bulk: a PBEsol-optimized structure of Tl2HgAu (SCAN).

## Properties
total energy: -281.8 eV per cell
energy above the lowest structure with this stoichiometry: 0.084 eV/atom
calculated formation energy: 50 meV/atom

a b c (Å): 4.559 4.559 5.600
angles (deg): 114.02 114.02 90.00
Sites, in units of the cell vectors:
Tl: 0.000 0.000 0.000
Tl: 0.750 0.250 0.500
Au: 0.500 0.500 0.000
Hg: 0.250 0.750 0.500

# 25
Entry from Alexandria via LeMat-Bulk: a PBEsol-optimized structure of MnRhSN2 (SCAN).

## Properties
total energy: -76.9 eV per cell
energy above the lowest structure with this stoichiometry: 0.024 eV/atom

a b c (Å): 3.495 3.495 4.822
angles (deg): 90.00 90.00 90.00
Sites, in units of the cell vectors:
S: 0.000 0.000 0.500
Mn: 0.000 0.000 0.000
Rh: 0.500 0.500 0.500
N: 0.000 0.500 0.000
N: 0.500 0.000 0.000

# 26
Entry from Alexandria via LeMat-Bulk: a PBEsol-optimized structure of HfZr2Hg2 (SCAN).

## Properties
total energy: -259.0 eV per cell
calculated formation energy: 288 meV/atom

a b c (Å): 4.050 4.050 7.629
angles (deg): 105.39 105.39 90.00
Each line ends with the local moment (μB).
Sites, in units of the cell vectors:
Hf: 0.000 0.000 0.000  0.18
Hg: 0.250 0.750 0.500  0.00
Hg: 0.750 0.250 0.500  0.00
Zr: 0.401 0.401 0.803  0.26
Zr: 0.599 0.599 0.197  0.26